No. 1
The following is a DFT calculation (GGA-PBE) of NdDy12Tm7 after structural relaxation.

- calculated total energy (eV per atom) = -3.847
- calculated formation energy (meV per atom) = 718
- volume (Å³ per atom) = 35.83
- relative energy among the computed polymorphs (eV per formula unit) = 9.54

abc: 9.7639 9.7639 9.7639
angles: 109.47 109.47 109.47
Last column: nearest neighbours and their distance in Å.
Atoms (fractional coordinates):
Dy: 0.7414 0.7426 0.4840  2 Tm 2.82
Dy: 0.7426 0.4840 0.7414  2 Tm 2.82
Nd: 0.0000 0.0000 0.0000  12 Dy 4.11
Dy: 0.9988 0.7414 0.2574  2 Tm 2.82
Tm: 0.5000 0.0000 0.5000  12 Dy 3.86-4.00
Tm: 0.5000 0.5000 0.5000  6 Dy 2.82
Dy: 0.7414 0.2574 0.9988  2 Tm 2.82
Tm: 0.0000 0.5000 0.5000  12 Dy 3.86-4.00
Dy: 0.0012 0.2586 0.7426  2 Tm 2.82
Dy: 0.5160 0.2586 0.2574  2 Tm 2.82
Dy: 0.4840 0.7414 0.7426  2 Tm 2.82
Dy: 0.2574 0.9988 0.7414  2 Tm 2.82
Dy: 0.2574 0.5160 0.2586  2 Tm 2.82
Tm: 0.0000 0.0000 0.5000  6 Dy 2.82
Dy: 0.7426 0.0012 0.2586  2 Tm 2.82
Tm: 0.5000 0.0000 0.0000  6 Dy 2.82
Dy: 0.2586 0.2574 0.5160  2 Tm 2.82
Tm: 0.0000 0.5000 0.0000  6 Dy 2.82
Tm: 0.5000 0.5000 0.0000  12 Dy 3.86-4.00
Dy: 0.2586 0.7426 0.0012  2 Tm 2.82

No. 2
The following is a DFT calculation (GGA-PBE) of ZrBeCl2 after structural relaxation.

- calculated total energy (eV per atom) = -4.735
- volume (Å³ per atom) = 21.98
- E_form (uncorrected) (meV/atom) = -743
- relative energy among the computed polymorphs (eV per formula unit) = 0.24

abc: 3.3014 3.3014 9.3093
angles: 90.00 90.00 119.94
Last column: nearest neighbours and their distance in Å.
Atoms (fractional coordinates):
Cl: 0.5000 0.5000 0.3186  2 Zr 2.58
Be: 0.5000 0.5000 0.7584  2 Cl 2.06
Cl: 0.0000 0.0000 0.8911  2 Be 2.06
Zr: 0.0000 0.0000 0.5320  2 Cl 2.58, 2 Be 2.68

Copy entry 1 word for word.
The following is a DFT calculation (GGA-PBE) of NdDy12Tm7 after structural relaxation.

- calculated total energy (eV per atom) = -3.847
- calculated formation energy (meV per atom) = 718
- volume (Å³ per atom) = 35.83
- relative energy among the computed polymorphs (eV per formula unit) = 9.54

abc: 9.7639 9.7639 9.7639
angles: 109.47 109.47 109.47
Last column: nearest neighbours and their distance in Å.
Atoms (fractional coordinates):
Dy: 0.7414 0.7426 0.4840  2 Tm 2.82
Dy: 0.7426 0.4840 0.7414  2 Tm 2.82
Nd: 0.0000 0.0000 0.0000  12 Dy 4.11
Dy: 0.9988 0.7414 0.2574  2 Tm 2.82
Tm: 0.5000 0.0000 0.5000  12 Dy 3.86-4.00
Tm: 0.5000 0.5000 0.5000  6 Dy 2.82
Dy: 0.7414 0.2574 0.9988  2 Tm 2.82
Tm: 0.0000 0.5000 0.5000  12 Dy 3.86-4.00
Dy: 0.0012 0.2586 0.7426  2 Tm 2.82
Dy: 0.5160 0.2586 0.2574  2 Tm 2.82
Dy: 0.4840 0.7414 0.7426  2 Tm 2.82
Dy: 0.2574 0.9988 0.7414  2 Tm 2.82
Dy: 0.2574 0.5160 0.2586  2 Tm 2.82
Tm: 0.0000 0.0000 0.5000  6 Dy 2.82
Dy: 0.7426 0.0012 0.2586  2 Tm 2.82
Tm: 0.5000 0.0000 0.0000  6 Dy 2.82
Dy: 0.2586 0.2574 0.5160  2 Tm 2.82
Tm: 0.0000 0.5000 0.0000  6 Dy 2.82
Tm: 0.5000 0.5000 0.0000  12 Dy 3.86-4.00
Dy: 0.2586 0.7426 0.0012  2 Tm 2.82

> Which value of calculated total energy does entry 1 give?

-3.847 eV per atom